First-principles (PBE-GGA) data for a relaxed Li7Nd3Ge4 crystal, as listed in the Alexandria database.

Summary:
Its spin magnetization is 0.0 Bohr magnetons per cell. The crystal system is monoclinic. Its density is 4.7 g/cm³. The calculated total energy is -3.82 eV per atom.

Unit cell a=8.590 b=8.590 c=8.407 alpha=118.71 beta=118.71 gamma=30.75
Element x y z (fractional)
Li 0.000 0.000 0.000
Li 0.143 0.143 0.950
Li 0.332 0.332 0.489
Li 0.485 0.485 0.797
Li 0.515 0.515 0.203
Li 0.668 0.668 0.511
Li 0.857 0.857 0.050
Nd 0.000 0.000 0.500
Nd 0.270 0.270 0.777
Nd 0.730 0.730 0.223
Ge 0.133 0.133 0.322
Ge 0.362 0.362 0.217
Ge 0.638 0.638 0.783
Ge 0.867 0.867 0.678

First-principles (PBE-GGA) data for a relaxed Pm4HgPd4 crystal, as listed in the Alexandria database.

Summary:
Its spin magnetization is 0.0 Bohr magnetons per cell. The crystal system is tetragonal. Its density is 8.7 g/cm³. The calculated total energy is -5.03 eV per atom.

Unit cell a=8.946 b=8.946 c=5.726 alpha=90.00 beta=90.00 gamma=90.00
Element x y z (fractional)
Pm 0.040 0.687 0.085
Pm 0.187 0.960 0.585
Pm 0.313 0.540 0.585
Pm 0.460 0.813 0.085
Pm 0.540 0.187 0.915
Pm 0.687 0.460 0.415
Pm 0.813 0.040 0.415
Pm 0.960 0.313 0.915
Hg 0.250 0.250 0.250
Hg 0.750 0.750 0.750
Pd 0.016 0.650 0.578
Pd 0.150 0.984 0.078
Pd 0.350 0.516 0.078
Pd 0.484 0.850 0.578
Pd 0.516 0.150 0.422
Pd 0.650 0.484 0.922
Pd 0.850 0.016 0.922
Pd 0.984 0.350 0.422

First-principles (PBE-GGA) data for a relaxed Pr2NdEr5Th crystal, as listed in the Alexandria database.

Summary:
Its spin magnetization is 0.0 Bohr magnetons per cell. The crystal system is tetragonal. Its density is 8.5 g/cm³. The calculated total energy is -4.67 eV per atom.

Unit cell a=9.897 b=9.897 c=9.897 alpha=127.85 beta=127.85 gamma=76.87
Element x y z (fractional)
Pr 0.117 0.617 0.734
Pr 0.383 0.117 0.500
Pr 0.617 0.883 0.500
Pr 0.883 0.383 0.266
Nd 0.250 0.750 0.500
Nd 0.750 0.250 0.500
Er 0.000 0.000 0.000
Er 0.073 0.147 0.500
Er 0.147 0.647 0.074
Er 0.353 0.427 0.500
Er 0.427 0.927 0.074
Er 0.500 0.500 0.000
Er 0.573 0.073 0.926
Er 0.647 0.573 0.500
Er 0.853 0.353 0.926
Er 0.927 0.853 0.500
Th 0.250 0.250 0.000
Th 0.750 0.750 0.000

First-principles (PBE-GGA) data for a relaxed Be4CdFe crystal, as listed in the Alexandria database.

Summary:
Its spin magnetization is 1.7 Bohr magnetons per cell. The crystal system is cubic. Its density is 5.5 g/cm³. The calculated total energy is -3.96 eV per atom.

Unit cell a=4.425 b=4.425 c=4.425 alpha=60.00 beta=60.00 gamma=60.00
Element x y z (fractional)
Be 0.378 0.378 0.378
Be 0.378 0.378 0.867
Be 0.378 0.867 0.378
Be 0.867 0.378 0.378
Cd 0.000 0.000 0.000
Fe 0.750 0.750 0.750

First-principles (PBE-GGA) data for a relaxed Mn2Zn5 crystal, as listed in the Alexandria database.

Summary:
Its spin magnetization is 12.6 Bohr magnetons per cell. The crystal system is monoclinic. Its density is 7.3 g/cm³. The calculated total energy is -3.49 eV per atom.

Unit cell a=6.447 b=6.447 c=6.995 alpha=92.84 beta=92.84 gamma=43.12
Element x y z (fractional)
Mn 0.092 0.767 0.893
Mn 0.233 0.908 0.607
Mn 0.767 0.092 0.393
Mn 0.908 0.233 0.107
Zn 0.052 0.376 0.826
Zn 0.193 0.530 0.543
Zn 0.329 0.671 0.250
Zn 0.376 0.052 0.326
Zn 0.470 0.807 0.957
Zn 0.530 0.193 0.043
Zn 0.624 0.948 0.674
Zn 0.671 0.329 0.750
Zn 0.807 0.470 0.457
Zn 0.948 0.624 0.174

First-principles (PBE-GGA) data for a relaxed Ba2MnCdIn crystal, as listed in the Alexandria database.

Summary:
Its spin magnetization is 3.6 Bohr magnetons per cell. The crystal system is tetragonal. Its density is 4.3 g/cm³. The calculated total energy is -3.00 eV per atom.

Unit cell a=6.551 b=6.551 c=5.060 alpha=90.00 beta=90.00 gamma=90.00
Element x y z (fractional)
Ba 0.000 0.500 0.000
Ba 0.500 0.000 0.000
Mn 0.000 0.000 0.500
Cd 0.000 0.000 0.000
In 0.500 0.500 0.500